--- a ---
Compound: Pr8Nd2Ho3
Source: Alexandria via LeMat-Bulk
Functional: PBE
Structure: optimized geometry

Lattice parameters (Å, degrees): 6.195 11.906 9.025 131.27 72.37 90.00
Element x y z (fractional)
1 Pr 0.761 0.415 0.830
2 Pr 0.239 0.585 0.170
3 Pr 0.105 0.862 0.724
4 Pr 0.895 0.138 0.276
5 Pr 0.343 0.923 0.324
6 Pr 0.343 0.401 0.324
7 Pr 0.657 0.599 0.676
8 Pr 0.657 0.077 0.676
9 Nd 0.660 0.690 0.380
10 Nd 0.340 0.310 0.620
11 Ho 0.500 0.000 0.000
12 Ho 0.000 0.265 0.000
13 Ho 0.000 0.735 0.000

* density of states at the Fermi level: 20.639 states/eV/cell
* space-group type: C2/m

---

--- b ---
Compound: Pr8Nd2Ho3
Source: Alexandria via LeMat-Bulk
Functional: PBE
Structure: optimized geometry

Lattice parameters (Å, degrees): 5.766 7.762 11.121 110.43 90.00 90.00
Element x y z (fractional)
1 Pr 0.000 0.672 0.343
2 Pr 0.000 0.328 0.657
3 Pr 0.000 0.130 0.259
4 Pr 0.000 0.870 0.741
5 Pr 0.500 0.601 0.793
6 Pr 0.500 0.193 0.793
7 Pr 0.500 0.807 0.207
8 Pr 0.500 0.399 0.207
9 Nd 0.500 0.240 0.480
10 Nd 0.500 0.760 0.520
11 Ho 0.500 0.000 0.000
12 Ho 0.000 0.285 0.000
13 Ho 0.000 0.715 0.000

* density of states at the Fermi level: 18.787 states/eV/cell
* space-group type: Cmmm

---

In meV/atom, relative to the most stable structure: a 0; b 38.

---

--- a ---
Compound: Pr3Nd2Ho6
Source: Alexandria via LeMat-Bulk
Functional: PBE
Structure: optimized geometry

Lattice parameters (Å, degrees): 4.800 4.800 16.973 98.13 98.13 90.00
Element x y z (fractional)
1 Pr 0.000 0.000 0.000
2 Pr 0.795 0.795 0.590
3 Pr 0.205 0.205 0.410
4 Nd 0.454 0.454 0.907
5 Nd 0.546 0.546 0.093
6 Ho 0.120 0.620 0.241
7 Ho 0.620 0.120 0.241
8 Ho 0.880 0.380 0.759
9 Ho 0.380 0.880 0.759
10 Ho 0.691 0.691 0.382
11 Ho 0.309 0.309 0.618

* density of states at the Fermi level: 15.862 states/eV/cell
* space-group type: I4/mmm

---

--- b ---
Compound: Pr3Nd2Ho6
Source: Alexandria via LeMat-Bulk
Functional: PBE
Structure: optimized geometry

Lattice parameters (Å, degrees): 6.201 6.211 11.717 84.91 79.76 60.05
Element x y z (fractional)
1 Pr 0.000 0.000 0.000
2 Pr 0.336 0.328 0.000
3 Pr 0.664 0.672 0.000
4 Nd 0.166 0.667 0.500
5 Nd 0.834 0.333 0.500
6 Ho 0.417 0.667 0.749
7 Ho 0.750 0.000 0.749
8 Ho 0.084 0.333 0.749
9 Ho 0.250 0.000 0.251
10 Ho 0.583 0.333 0.251
11 Ho 0.916 0.667 0.251

* density of states at the Fermi level: 15.817 states/eV/cell
* space-group type: C2/m

---

In meV/atom, relative to the most stable structure: a 65; b 0.

---

--- a ---
Compound: Pr2Nd6Ho
Source: Alexandria via LeMat-Bulk
Functional: PBE
Structure: optimized geometry

Lattice parameters (Å, degrees): 6.281 10.309 10.309 70.78 84.65 84.65
Element x y z (fractional)
1 Pr 0.423 0.566 0.771
2 Pr 0.077 0.229 0.434
3 Pr 0.577 0.434 0.229
4 Pr 0.923 0.771 0.566
5 Nd 0.486 0.689 0.409
6 Nd 0.014 0.591 0.311
7 Nd 0.514 0.311 0.591
8 Nd 0.986 0.409 0.689
9 Nd 0.647 0.075 0.346
10 Nd 0.853 0.654 0.925
11 Nd 0.353 0.925 0.654
12 Nd 0.147 0.346 0.075
13 Nd 0.320 0.747 0.026
14 Nd 0.180 0.974 0.253
15 Nd 0.680 0.253 0.974
16 Nd 0.820 0.026 0.747
17 Ho 0.250 0.100 0.900
18 Ho 0.750 0.900 0.100

* density of states at the Fermi level: 26.365 states/eV/cell
* space-group type: C2/c

---

--- b ---
Compound: Pr2Nd6Ho
Source: Alexandria via LeMat-Bulk
Functional: PBE
Structure: optimized geometry

Lattice parameters (Å, degrees): 3.583 10.021 10.671 118.00 70.43 90.00
Element x y z (fractional)
1 Pr 0.334 0.333 0.666
2 Pr 0.666 0.667 0.334
3 Nd 0.830 0.001 0.670
4 Nd 0.170 0.331 0.330
5 Nd 0.170 0.999 0.330
6 Nd 0.500 0.330 0.000
7 Nd 0.830 0.669 0.670
8 Nd 0.500 0.670 0.000
9 Ho 0.000 0.000 0.000

* density of states at the Fermi level: 12.634 states/eV/cell
* space-group type: C2/m

---

In meV/atom, relative to the most stable structure: a 27; b 0.

---

--- a ---
Compound: Pr3Nd2Ho8
Source: Alexandria via LeMat-Bulk
Functional: PBE
Structure: optimized geometry

Lattice parameters (Å, degrees): 5.639 7.717 10.969 110.60 90.03 90.00
Element x y z (fractional)
1 Pr 0.500 0.000 0.000
2 Pr 0.000 0.294 0.000
3 Pr 0.000 0.706 0.000
4 Nd 0.499 0.241 0.483
5 Nd 0.501 0.759 0.517
6 Ho 0.001 0.666 0.332
7 Ho 0.999 0.334 0.668
8 Ho 0.000 0.133 0.265
9 Ho 0.000 0.867 0.735
10 Ho 0.500 0.602 0.783
11 Ho 0.500 0.182 0.783
12 Ho 0.500 0.818 0.217
13 Ho 0.500 0.398 0.217

* density of states at the Fermi level: 23.510 states/eV/cell
* space-group type: C2/m

---

--- b ---
Compound: Pr3Nd2Ho8
Source: Alexandria via LeMat-Bulk
Functional: PBE
Structure: optimized geometry

Lattice parameters (Å, degrees): 6.233 6.216 11.346 79.36 90.18 99.64
Element x y z (fractional)
1 Pr 0.000 0.000 0.000
2 Pr 0.538 0.231 0.079
3 Pr 0.462 0.769 0.921
4 Nd 0.769 0.616 0.538
5 Nd 0.231 0.384 0.462
6 Ho 0.075 0.463 0.156
7 Ho 0.925 0.537 0.844
8 Ho 0.153 0.924 0.309
9 Ho 0.847 0.076 0.691
10 Ho 0.307 0.847 0.615
11 Ho 0.386 0.308 0.767
12 Ho 0.614 0.692 0.233
13 Ho 0.693 0.153 0.385

* density of states at the Fermi level: 18.415 states/eV/cell
* space-group type: P-1

---

In meV/atom, relative to the most stable structure: a 232; b 0.